Y2AlI2 | PBE-GGA | relaxed

Lattice parameters (Å, degrees): 8.888 8.888 3.623 90.00 90.00 90.00
Space group P4/mbm (No. 127)
Symmetry-distinct sites (fractional):
Y  0.163  0.337  0.000 [4 per cell]
Al  0.000  0.000  0.500 [2 per cell]
I  0.135  0.635  0.500 [4 per cell]

## Properties
- Polymorph energy (0 for the lowest one): 0 meV/atom
- Uncorrected energy: -4.1805 eV per atom
- Crystal system: tetragonal


Y4AlI5 | PBE-GGA | relaxed

Lattice parameters (Å, degrees): 21.409 4.212 8.841 90.00 90.38 90.00
Space group C2/m (No. 12)
Symmetry-distinct sites (fractional):
Y  0.000  0.000  0.220 [4 per cell]
Y  0.128  0.500  0.002 [4 per cell]
Al  0.000  0.500  0.000 [2 per cell]
I  0.000  0.500  0.500 [2 per cell]
I  0.153  0.000  0.252 [4 per cell]
I  0.153  0.000  0.753 [4 per cell]

## Properties
- Polymorph energy (0 for the lowest one): 34 meV/atom
- Uncorrected energy: -4.7251 eV per atom
- Crystal system: monoclinic


YAl3I | PBE-GGA | relaxed

Lattice parameters (Å, degrees): 5.372 5.372 5.372 90.00 90.00 90.00
Space group Pm-3m (No. 221)
Symmetry-distinct sites (fractional):
Y  0.000  0.000  0.000 [1 per cell]
Al  0.000  0.500  0.500 [3 per cell]
I  0.500  0.500  0.500 [1 per cell]

## Properties
- Polymorph energy (0 for the lowest one): 0 meV/atom
- Uncorrected energy: -2.9793 eV per atom
- Crystal system: cubic


Y3AlI | PBE-GGA | relaxed

Lattice parameters (Å, degrees): 5.570 5.570 5.570 90.00 90.00 90.00
Space group Pm-3m (No. 221)
Symmetry-distinct sites (fractional):
Y  0.000  0.000  0.500 [3 per cell]
Al  0.000  0.000  0.000 [1 per cell]
I  0.500  0.500  0.500 [1 per cell]

## Properties
- Polymorph energy (0 for the lowest one): 0 meV/atom
- Uncorrected energy: -4.8466 eV per atom
- Crystal system: cubic


YAl2I2 | PBE-GGA | relaxed

Lattice parameters (Å, degrees): 3.769 3.769 24.694 90.00 90.00 90.00
Space group I4/mmm (No. 139)
Symmetry-distinct sites (fractional):
Y  0.000  0.000  0.000 [2 per cell]
Al  0.000  0.500  0.250 [4 per cell]
I  0.000  0.000  0.425 [4 per cell]

## Properties
- Polymorph energy (0 for the lowest one): 0 meV/atom
- Uncorrected energy: -3.7202 eV per atom
- Crystal system: tetragonal


YAlI2 | PBE-GGA | relaxed

Lattice parameters (Å, degrees): 10.826 10.826 6.146 90.00 90.00 90.00
Space group I-42d (No. 122)
Symmetry-distinct sites (fractional):
Y  0.000  0.000  0.000 [4 per cell]
Al  0.000  0.000  0.500 [4 per cell]
I  0.107  0.250  0.125 [8 per cell]

## Properties
- Polymorph energy (0 for the lowest one): 0 meV/atom
- Uncorrected energy: -3.6677 eV per atom
- Crystal system: tetragonal


YAlI2 | PBE-GGA | relaxed

Lattice parameters (Å, degrees): 7.737 7.737 7.737 90.00 90.00 90.00
Space group Fm-3m (No. 225)
Symmetry-distinct sites (fractional):
Y  0.000  0.000  0.000 [4 per cell]
Al  0.000  0.000  0.500 [4 per cell]
I  0.250  0.250  0.250 [8 per cell]

## Properties
- Polymorph energy (0 for the lowest one): 84 meV/atom
- Uncorrected energy: -3.5834 eV per atom
- Crystal system: cubic


YAl2I2 | PBE-GGA | relaxed

Lattice parameters (Å, degrees): 8.489 8.489 4.173 90.00 90.00 90.00
Space group P4/mbm (No. 127)
Symmetry-distinct sites (fractional):
Y  0.000  0.000  0.000 [2 per cell]
Al  0.181  0.319  0.500 [4 per cell]
I  0.149  0.649  0.000 [4 per cell]

## Properties
- Polymorph energy (0 for the lowest one): 378 meV/atom
- Uncorrected energy: -3.3418 eV per atom
- Crystal system: tetragonal


Y2AlI | PBE-GGA | relaxed

Lattice parameters (Å, degrees): 7.581 7.581 7.581 90.00 90.00 90.00
Space group Fm-3m (No. 225)
Symmetry-distinct sites (fractional):
Y  0.250  0.250  0.250 [8 per cell]
Al  0.000  0.000  0.000 [4 per cell]
I  0.000  0.000  0.500 [4 per cell]

## Properties
- Polymorph energy (0 for the lowest one): 0 meV/atom
- Uncorrected energy: -4.8652 eV per atom
- Crystal system: cubic


YAlI3 | PBE-GGA | relaxed

Lattice parameters (Å, degrees): 6.019 6.019 6.019 90.00 90.00 90.00
Space group Pm-3m (No. 221)
Symmetry-distinct sites (fractional):
Y  0.000  0.000  0.000 [1 per cell]
Al  0.500  0.500  0.500 [1 per cell]
I  0.000  0.000  0.500 [3 per cell]

## Properties
- Polymorph energy (0 for the lowest one): 0 meV/atom
- Uncorrected energy: -3.4520 eV per atom
- Crystal system: cubic


Y4AlI5 | PBE-GGA | relaxed

Lattice parameters (Å, degrees): 19.324 4.226 8.890 90.00 102.51 90.00
Space group C2/m (No. 12)
Symmetry-distinct sites (fractional):
Y  0.000  0.000  0.219 [4 per cell]
Y  0.148  0.500  0.076 [4 per cell]
Al  0.000  0.500  0.000 [2 per cell]
I  0.000  0.500  0.500 [2 per cell]
I  0.167  0.000  0.337 [4 per cell]
I  0.173  0.000  0.832 [4 per cell]

## Properties
- Polymorph energy (0 for the lowest one): 0 meV/atom
- Uncorrected energy: -4.7592 eV per atom
- Crystal system: monoclinic


Y3AlI3 | PBE-GGA | relaxed

Lattice parameters (Å, degrees): 7.1590 7.1590 34.8957 90.00 90.00 120.00
Space group R-3 (No. 148, hexagonal axes)
Symmetry-distinct sites (fractional):
Y  0.0000  0.3303  0.4515 [18 per cell]
Al  0.0000  0.0000  0.1667 [6 per cell]
I  0.9997  0.3330  0.2733 [18 per cell]

## Properties
- Uncorrected energy: -4.8348 eV per atom
- Crystal system: trigonal


Q: Which raw formation energy values were calculated for the entries above? A: -226 -990 869 90 -310 -341 -257 68 -310 -481 -1024 -866, in meV/atom.